{
  "formula": "Ca2Al3Cu12Ni",
  "functional": "PBE",
  "state": "optimized geometry",
  "lattice_angstrom": [[-9.211, 0.619, 3.052], [-7.465, -5.267, 3.327], [-5.742, -1.342, 7.731]],
  "species": ["Al", "Al", "Al", "Cu", "Cu", "Cu", "Cu", "Cu", "Cu", "Cu", "Cu", "Cu", "Cu", "Cu", "Cu", "Ni", "Ca", "Ca"],
  "frac_coords": [[0.500, 0.000, 0.000], [0.000, 0.500, 0.000], [0.000, 0.000, 0.500], [0.186, 0.580, 0.580], [0.420, 0.814, 0.420], [0.344, 0.935, 0.935], [0.065, 0.656, 0.065], [0.656, 0.065, 0.065], [0.935, 0.935, 0.344], [0.420, 0.420, 0.814], [0.580, 0.186, 0.580], [0.065, 0.065, 0.656], [0.814, 0.420, 0.420], [0.935, 0.344, 0.935], [0.580, 0.580, 0.186], [0.000, 0.000, 0.000], [0.347, 0.347, 0.347], [0.653, 0.653, 0.653]],
  "space_group": "No. 166",
  "total_energy_ev_per_atom": -3.78
}


{
  "formula": "BaGdMgZn",
  "functional": "PBE",
  "state": "optimized geometry",
  "lattice_angstrom": [[-1.222, 3.362, -4.305], [-5.026, 2.443, -0.304], [-0.483, 5.517, 0.807]],
  "species": ["Zn", "Ba", "Mg", "Gd"],
  "frac_coords": [[0.000, 0.000, 0.000], [0.250, 0.250, 0.250], [0.500, 0.500, 0.500], [0.750, 0.750, 0.750]],
  "space_group": "No. 216",
  "total_energy_ev_per_atom": -4.73
}


{
  "formula": "K3Na12Mg",
  "functional": "PBE",
  "state": "optimized geometry",
  "lattice_angstrom": [[-3.691, -1.070, -4.383], [-3.692, -2.539, 3.729], [-8.734, 17.301, 3.131]],
  "species": ["K", "K", "K", "Na", "Na", "Na", "Na", "Na", "Na", "Na", "Na", "Na", "Na", "Na", "Na", "Mg"],
  "frac_coords": [[0.000, 0.000, 0.500], [0.000, 0.000, 0.774], [0.000, 0.000, 0.226], [0.500, 0.500, 0.500], [0.500, 0.000, 0.637], [0.000, 0.500, 0.637], [0.500, 0.500, 0.768], [0.500, 0.000, 0.903], [0.500, 0.000, 0.097], [0.500, 0.000, 0.363], [0.000, 0.500, 0.097], [0.500, 0.500, 0.232], [0.000, 0.500, 0.903], [0.500, 0.500, 0.000], [0.000, 0.500, 0.363], [0.000, 0.000, 0.000]],
  "space_group": "No. 123",
  "total_energy_ev_per_atom": -1.25
}


{
  "formula": "ScCuBr",
  "functional": "PBE",
  "state": "optimized geometry",
  "lattice_angstrom": [[-0.574, 2.267, 3.981], [2.067, -4.128, -0.029], [3.072, 1.541, -0.435]],
  "species": ["Sc", "Br", "Cu"],
  "frac_coords": [[0.333, 0.667, 0.831], [0.000, 0.000, 0.836], [0.667, 0.333, 0.333]],
  "e_form_raw_mev_per_atom": -126,
  "e_above_lowest_polymorph_mev_per_atom": 697,
  "space_group": "No. 156",
  "total_energy_ev_per_atom": -4.16
}


{
  "formula": "Al3Cd2Au8",
  "functional": "PBE",
  "state": "optimized geometry",
  "lattice_angstrom": [[4.112, 0.000, 0.000], [0.000, 7.128, -4.064], [0.000, 0.296, 8.702]],
  "species": ["Au", "Au", "Au", "Au", "Au", "Au", "Au", "Au", "Al", "Al", "Al", "Cd", "Cd"],
  "frac_coords": [[0.000, 0.108, 0.219], [0.500, 0.366, 0.219], [0.500, 0.634, 0.781], [0.000, 0.382, 0.761], [0.000, 0.618, 0.239], [0.000, 0.892, 0.781], [0.500, 0.148, 0.780], [0.500, 0.852, 0.220], [0.500, 0.000, 0.000], [0.000, 0.726, 0.000], [0.000, 0.274, 0.000], [0.500, 0.753, 0.506], [0.500, 0.247, 0.494]],
  "space_group": "No. 10",
  "total_energy_ev_per_atom": -3.24
}


{
  "formula": "NbMo2HPd",
  "functional": "PBE",
  "state": "optimized geometry",
  "lattice_angstrom": [[3.998, 0.000, 0.000], [0.000, 3.998, 0.000], [0.000, 0.000, 4.181]],
  "species": ["H", "Pd", "Mo", "Mo", "Nb"],
  "frac_coords": [[0.000, 0.000, 0.000], [0.500, 0.500, 0.500], [0.500, 0.000, 0.000], [0.000, 0.500, 0.000], [0.000, 0.000, 0.500]],
  "e_above_lowest_polymorph_mev_per_atom": 0,
  "space_group": "No. 123",
  "total_energy_ev_per_atom": -8.08
}


{
  "formula": "Tb3NdSc4",
  "functional": "PBE",
  "state": "optimized geometry",
  "lattice_angstrom": [[-4.483, -0.370, 3.992], [4.670, -0.097, 5.235], [-0.400, 10.853, 0.559]],
  "species": ["Tb", "Tb", "Tb", "Tb", "Tb", "Tb", "Nd", "Nd", "Sc", "Sc", "Sc", "Sc", "Sc", "Sc", "Sc", "Sc"],
  "frac_coords": [[0.140, 0.364, 0.500], [0.488, 0.364, 0.250], [0.488, 0.364, 0.750], [0.988, 0.636, 0.250], [0.640, 0.636, 0.000], [0.988, 0.636, 0.750], [0.641, 0.635, 0.500], [0.141, 0.365, 0.000], [0.151, 0.886, 0.000], [0.479, 0.886, 0.248], [0.979, 0.114, 0.252], [0.150, 0.887, 0.500], [0.479, 0.886, 0.752], [0.651, 0.114, 0.500], [0.650, 0.113, 0.000], [0.979, 0.114, 0.748]],
  "space_group": "No. 31",
  "total_energy_ev_per_atom": -5.46
}


{
  "formula": "LiScP",
  "functional": "PBE",
  "state": "optimized geometry",
  "lattice_angstrom": [[-1.336, -1.508, 3.618], [5.726, -0.471, 1.918], [-0.420, 8.226, 3.273]],
  "species": ["Li", "Li", "Li", "Li", "P", "P", "P", "P", "Sc", "Sc", "Sc", "Sc"],
  "frac_coords": [[0.250, 0.961, 0.916], [0.250, 0.539, 0.416], [0.750, 0.461, 0.584], [0.750, 0.039, 0.084], [0.250, 0.270, 0.113], [0.750, 0.770, 0.387], [0.750, 0.730, 0.887], [0.250, 0.230, 0.613], [0.250, 0.471, 0.852], [0.250, 0.029, 0.352], [0.750, 0.971, 0.648], [0.750, 0.529, 0.148]],
  "space_group": "No. 62",
  "total_energy_ev_per_atom": -5.48
}


{
  "formula": "BaCr2IrSe8",
  "functional": "PBE",
  "state": "optimized geometry",
  "lattice_angstrom": [[-0.064, -5.887, -1.987], [-1.569, 1.316, 5.866], [-8.599, 0.942, -2.512]],
  "species": ["Se", "Se", "Se", "Se", "Se", "Se", "Se", "Se", "Ba", "Cr", "Cr", "Ir"],
  "frac_coords": [[0.667, 0.333, 0.009], [0.010, 0.681, 0.335], [0.681, 0.671, 0.665], [0.329, 0.010, 0.665], [0.671, 0.990, 0.335], [0.990, 0.319, 0.665], [0.319, 0.329, 0.335], [0.333, 0.667, 0.991], [0.000, 0.000, 0.000], [0.333, 0.667, 0.743], [0.667, 0.333, 0.257], [0.000, 0.000, 0.500]],
  "e_form_raw_mev_per_atom": -485,
  "space_group": "No. 147",
  "total_energy_ev_per_atom": -5.31
}


{
  "formula": "ZrBAs2I",
  "functional": "PBE",
  "state": "optimized geometry",
  "lattice_angstrom": [[5.261, 0.000, 0.000], [0.000, 4.338, 0.000], [0.000, 0.000, 5.261]],
  "species": ["As", "As", "Zr", "I", "B"],
  "frac_coords": [[0.000, 0.000, 0.500], [0.500, 0.000, 0.000], [0.500, 0.500, 0.500], [0.000, 0.000, 0.000], [0.000, 0.500, 0.000]],
  "e_form_raw_mev_per_atom": 1501,
  "space_group": "No. 123",
  "total_energy_ev_per_atom": -3.71
}


{
  "formula": "Sr2LiTl",
  "functional": "PBE",
  "state": "optimized geometry",
  "lattice_angstrom": [[-5.127, -0.660, -0.728], [-0.065, -3.066, 3.238], [-1.211, 2.972, 5.834]],
  "species": ["Sr", "Sr", "Tl", "Li"],
  "frac_coords": [[0.500, 0.267, 0.339], [0.000, 0.977, 0.923], [0.000, 0.688, 0.497], [0.500, 0.568, 0.740]],
  "e_above_lowest_polymorph_mev_per_atom": 23,
  "space_group": "No. 6",
  "total_energy_ev_per_atom": -2.13
}


{
  "formula": "Er12In6Ru",
  "functional": "PBE",
  "state": "optimized geometry",
  "lattice_angstrom": [[8.174, 0.350, 0.420], [-0.893, 8.133, 0.420], [-0.893, -1.040, 8.077]],
  "species": ["In", "In", "In", "In", "In", "In", "Er", "Er", "Er", "Er", "Er", "Er", "Er", "Er", "Er", "Er", "Er", "Er", "Ru"],
  "frac_coords": [[0.868, 0.268, 0.661], [0.268, 0.661, 0.868], [0.661, 0.868, 0.268], [0.132, 0.732, 0.339], [0.339, 0.132, 0.732], [0.732, 0.339, 0.132], [0.567, 0.454, 0.795], [0.682, 0.018, 0.901], [0.433, 0.546, 0.205], [0.901, 0.682, 0.018], [0.205, 0.433, 0.546], [0.795, 0.567, 0.454], [0.546, 0.205, 0.433], [0.982, 0.099, 0.318], [0.454, 0.795, 0.567], [0.318, 0.982, 0.099], [0.018, 0.901, 0.682], [0.099, 0.318, 0.982], [0.000, 0.000, 0.000]],
  "space_group": "No. 148",
  "total_energy_ev_per_atom": -4.43
}


no.,density of states at the Fermi level (states/eV/cell),size of the total moment (μB/cell)
1,6.8,0.000
2,5.4,7.278
3,8.0,0.000
4,2.8,0.021
5,3.7,0.000
6,4.6,0.000
7,30.6,0.000
8,8.4,0.000
9,4.5,1.036
10,5.1,0.765
11,4.0,0.000
12,18.8,0.000